Record 1
Computed, not measured: an optimized crystal structure of CeHoThCd at the PBE level of DFT.

Unit cell a=7.6997 b=7.6997 c=7.6997 alpha=90.00 beta=90.00 gamma=90.00
With the nearest neighbours (Å) after each atom.
Space group F-43m (No. 216)
Inequivalent atoms, fractional coordinates:
Ce1 0.0000 0.0000 0.0000  4 Cd 3.33, 4 Th 3.33
Ho1 0.0000 0.0000 0.5000  4 Th 3.33, 4 Cd 3.33
Th1 0.2500 0.2500 0.2500  4 Ce 3.33, 4 Ho 3.33
Cd1 0.2500 0.2500 0.7500  4 Ce 3.33, 4 Ho 3.33

Properties
DFT total energy ... -4.62 eV per atom
DOS(E_F) ... 35.70 states/eV per cell



Record 2
Computed, not measured: an optimized crystal structure of Be2FeAs at the PBE level of DFT.

Unit cell a=3.3747 b=3.3747 c=7.2828 alpha=90.00 beta=90.00 gamma=90.00
With the nearest neighbours (Å) after each atom.
Space group I4/mmm (No. 139)
Inequivalent atoms, fractional coordinates:
Be1 0.0000 0.5000 0.2500  4 Be 2.39, 4 As 2.48, 4 Fe 2.48
Fe1 0.0000 0.0000 0.0000  4 As 2.39, 8 Be 2.48
As1 0.0000 0.0000 0.5000  4 Fe 2.39, 8 Be 2.48

Properties
Polymorph energy (0 for the lowest one) ... 16 kJ/mol of formula units
DOS(E_F) ... 3.59 states/eV per cell



Record 3
Computed, not measured: an optimized crystal structure of TbSmTl3 at the PBE level of DFT.

Unit cell a=7.4345 b=7.4345 c=6.4822 alpha=90.00 beta=90.00 gamma=120.00
With the nearest neighbours (Å) after each atom.
Space group P6_3/mmc (No. 194)
Inequivalent atoms, fractional coordinates:
Tb1 0.0000 0.0000 0.0000  6 Tl 3.04, 2 Tb 3.24
Sm1 0.3333 0.6667 0.2500  12 Tl 3.67-3.74
Tl1 0.1999 0.3998 0.7500  2 Tl 2.98, 2 Tb 3.04

Properties
DFT total energy ... -3.37 eV per atom
DOS(E_F) ... 7.32 states/eV per cell



Record 4
Computed, not measured: an optimized crystal structure of CdGe2F6 at the PBE level of DFT.

Unit cell a=10.1068 b=9.4021 c=8.6742 alpha=90.00 beta=121.91 gamma=90.00
With the nearest neighbours (Å) after each atom.
Space group C2/c (No. 15)
Inequivalent atoms, fractional coordinates:
Cd1 0.0000 0.0245 0.2500  6 F 2.26-2.33
Ge1 0.1857 0.3740 0.2406  3 F 1.89-1.91
F1 0.1124 0.1080 0.5446  1 Ge 1.91
F2 0.1939 0.1723 0.2701  1 Ge 1.91
F3 0.2065 0.1249 0.8836  1 Ge 1.89

Properties
Polymorph energy (0 for the lowest one) ... 0 kJ/mol of formula units
DOS(E_F) ... 0.00 states/eV per cell



Record 5
Computed, not measured: an optimized crystal structure of Rb2BaHfSe4 at the PBE level of DFT.

Unit cell a=8.5097 b=9.6056 c=12.9309 alpha=90.00 beta=90.00 gamma=90.00
With the nearest neighbours (Å) after each atom.
Space group Imma (No. 74)
Inequivalent atoms, fractional coordinates:
Rb1 0.0000 0.0000 0.0000  6 Se 3.29-3.30
Rb2 0.2500 0.2500 0.2500  6 Se 3.65-3.79
Ba1 0.0000 0.0000 0.5000  6 Se 3.22-3.26
Hf1 0.2500 0.2500 0.7500  6 Se 2.68-2.81
Se1 0.0000 0.0583 0.7487  2 Hf 2.81
Se2 0.2442 0.2500 0.5430  1 Hf 2.68

Properties
DFT total energy ... -4.90 eV per atom



Record 6
Computed, not measured: an optimized crystal structure of LaP2Ru at the PBE level of DFT.

Unit cell a=8.5642 b=3.5966 c=5.1849 alpha=90.00 beta=104.04 gamma=90.00
With the nearest neighbours (Å) after each atom.
Space group Cm (No. 8)
Inequivalent atoms, fractional coordinates:
La1 0.0000 0.0000 0.0000  7 P 2.96-3.19, 4 Ru 3.16-3.31
P1 0.2310 0.0000 0.6577  2 Ru 2.31
P2 0.4992 0.0000 0.5071  3 Ru 2.57, 3 P 2.60-2.65
Ru1 0.2786 0.5000 0.4079  5 P 2.31-2.57

Properties
Polymorph energy (0 for the lowest one) ... 154 kJ/mol of formula units
DOS(E_F) ... 4.62 states/eV per cell



Record 7
Computed, not measured: an optimized crystal structure of CuHg2Ru at the PBE level of DFT.

Unit cell a=9.0831 b=2.9850 c=5.3049 alpha=90.00 beta=101.39 gamma=90.00
With the nearest neighbours (Å) after each atom.
Space group C2/m (No. 12)
Inequivalent atoms, fractional coordinates:
Cu1 0.0000 0.0000 0.0000  6 Hg 2.80-2.86, 2 Cu 2.98, 4 Ru 3.04
Hg1 0.2473 0.5000 0.2471  3 Cu 2.80-2.86, 3 Ru 2.83-2.84, 6 Hg 2.98-3.06
Ru1 0.0000 0.5000 0.5000  6 Hg 2.83-2.84, 2 Ru 2.98, 4 Cu 3.04

Properties
Polymorph energy (0 for the lowest one) ... 48 kJ/mol of formula units
DOS(E_F) ... 5.00 states/eV per cell



Record 8
Computed, not measured: an optimized crystal structure of YErGaCo at the PBE level of DFT.

Unit cell a=4.2084 b=3.8726 c=10.5526 alpha=90.00 beta=90.00 gamma=90.00
With the nearest neighbours (Å) after each atom.
Space group Amm2 (No. 38)
Inequivalent atoms, fractional coordinates:
Y1 0.0000 0.0000 0.0000  3 Co 2.94-3.07, 4 Ga 2.98
Er1 0.5000 0.0000 0.7157  3 Ga 2.91-3.11, 4 Co 2.97
Ga1 0.5000 0.0000 0.4214  2 Co 2.52
Co1 0.0000 0.0000 0.2905  2 Ga 2.52

Properties
Polymorph energy (0 for the lowest one) ... 0 kJ/mol of formula units
DOS(E_F) ... 6.64 states/eV per cell



Record 9
Computed, not measured: an optimized crystal structure of MgGaSbF2 at the PBE level of DFT.

Unit cell a=4.3690 b=4.3690 c=5.8333 alpha=90.00 beta=90.00 gamma=90.00
With the nearest neighbours (Å) after each atom.
Space group P4/mmm (No. 123)
Inequivalent atoms, fractional coordinates:
Mg1 0.0000 0.0000 0.0000  4 Ga 3.09
Ga1 0.5000 0.5000 0.0000  2 Sb 2.92, 4 Mg 3.09
Sb1 0.5000 0.5000 0.5000  4 F 2.18
F1 0.0000 0.5000 0.5000  2 Sb 2.18

Properties
DFT total energy ... -3.52 eV per atom
DOS(E_F) ... 1.17 states/eV per cell



Record 10
Computed, not measured: an optimized crystal structure of CaPm2Ir2 at the PBE level of DFT.

Unit cell a=4.9531 b=4.9531 c=5.9282 alpha=90.00 beta=90.00 gamma=120.00
With the nearest neighbours (Å) after each atom.
Space group P-3m1 (No. 164)
Inequivalent atoms, fractional coordinates:
Ca1 0.0000 0.0000 0.0000  6 Ir 3.06
Pm1 0.3333 0.6667 0.3256  5 Ir 2.91-3.02
Ir1 0.3333 0.6667 0.8167  5 Pm 2.91-3.02, 3 Ca 3.06

Properties
Polymorph energy (0 for the lowest one) ... 6 kJ/mol of formula units
DOS(E_F) ... 3.01 states/eV per cell



Record 11
Computed, not measured: an optimized crystal structure of Ge2BrF4 at the PBE level of DFT.

Unit cell a=6.2200 b=7.2401 c=7.2619 alpha=76.37 beta=67.64 gamma=87.47
With the nearest neighbours (Å) after each atom.
Space group P1 (No. 1)
Inequivalent atoms, fractional coordinates:
Ge1 0.0000 0.0000 0.0000  1 F 1.82
Ge2 0.1701 0.1362 0.3420  6 F 1.80-1.89
Ge3 0.3657 0.6618 0.2970  1 F 2.18
Ge4 0.6123 0.2545 0.6753  1 F 1.80
Br1 0.4927 0.6092 0.6054  2 Ge 2.59-2.63
Br2 0.7706 0.6681 0.0396  2 Ge 2.50-2.75
F1 0.0778 0.0221 0.6094  1 Ge 1.80
F2 0.2423 0.2360 0.0702  1 Ge 1.82
F3 0.2639 0.8683 0.9625  1 Ge 1.82
F4 0.3668 0.3055 0.3533  1 Ge 1.81
F5 0.4069 0.9640 0.2809  1 Ge 1.88
F6 0.7774 0.3129 0.8120  1 Ge 1.80
F7 0.9246 0.3015 0.4026  1 Ge 1.88
F8 0.9690 0.9634 0.3183  1 Ge 1.89

Properties
DFT total energy ... -4.48 eV per atom
DOS(E_F) ... 0.00 states/eV per cell



Record 12
Computed, not measured: an optimized crystal structure of Li2PmCd at the PBE level of DFT.

Unit cell a=7.0299 b=7.0299 c=7.0299 alpha=90.00 beta=90.00 gamma=90.00
With the nearest neighbours (Å) after each atom.
Space group Fm-3m (No. 225)
Inequivalent atoms, fractional coordinates:
Li1 0.2500 0.2500 0.2500  4 Cd 3.04, 4 Pm 3.04
Pm1 0.0000 0.0000 0.0000  8 Li 3.04
Cd1 0.0000 0.0000 0.5000  8 Li 3.04

Properties
Polymorph energy (0 for the lowest one) ... 3 kJ/mol of formula units
DOS(E_F) ... 17.29 states/eV per cell